The following is a GGA-PBE calculation of a geometry-optimized Ca4AgN structure, from Alexandria.

Summary:
SG: Cmcm (63)
Theoretical density (g cm⁻³): 2.88
ΔE to the lowest computed polymorph (eV/f.u.): 0.00

```
data_Ca4AgN
_chemical_formula_sum 'Ca8 Ag2 N2'
_cell_length_a 9.8750
_cell_length_b 9.8750
_cell_length_c 6.9734
_cell_angle_alpha 90.00
_cell_angle_beta 90.00
_cell_angle_gamma 151.37
_space_group_name_H-M_alt 'P 1'
_space_group_IT_number 1
_space_group_name_Hall 'P 1'
loop_
_atom_site_label
_atom_site_type_symbol
_atom_site_fract_x
_atom_site_fract_y
_atom_site_fract_z
Ca1 Ca 0.0000 0.0000 0.0000
Ca2 Ca 0.0000 0.0000 0.5000
Ca3 Ca 0.1758 0.8242 0.5041
Ca4 Ca 0.1758 0.8242 0.9959
Ca5 Ca 0.4146 0.5854 0.2500
Ca6 Ca 0.5854 0.4146 0.7500
Ca7 Ca 0.8242 0.1758 0.0041
Ca8 Ca 0.8242 0.1758 0.4959
Ag1 Ag 0.4035 0.5965 0.7500
Ag2 Ag 0.5965 0.4035 0.2500
N1 N 0.0924 0.9076 0.7500
N2 N 0.9076 0.0924 0.2500
```